[1]
! Ba2Ga6CuIr (GGA-PBE, optimized geometry); values from VASP
! - V (A^3/atom) = 22.885
! - total magnetization (μB/f.u.) = 0.00
! - electronic total energy (eV per atom) = -3.881
! - space group = No. 2
! - formation energy (eV/atom) = -0.3851
! - N(E_F) (states/eV per atom) = 0.53
&SYSTEM
  ibrav = 0, nat = 10, ntyp = 4
/
ATOMIC_SPECIES
Ba 137.33 Ba.upf
Ga 69.72 Ga.upf
Cu 63.55 Cu.upf
Ir 192.22 Ir.upf
ATOMIC_POSITIONS angstrom
Ba 3.3105 1.8976 2.2357
Ba 9.9460 5.7707 3.7112
Ga 6.6149 5.3673 4.9971
Ga 5.2912 3.0195 4.9772
Ga 5.2948 4.6390 0.9692
Ga 7.9616 3.0293 4.9777
Ga 7.9652 4.6488 0.9697
Ga 6.6415 2.3010 0.9498
Cu 6.6282 3.8342 2.9734
Ir 0.0000 0.0000 0.0000
CELL_PARAMETERS angstrom
6.6395 0.0000 0.0000
3.3139 5.7961 0.0000
3.3031 1.8722 5.9468

[2]
! Ca2YP (GGA-PBE, optimized geometry); values from VASP
! - V (A^3/atom) = 32.383
! - total magnetization (μB/f.u.) = 0.00
! - electronic total energy (eV per atom) = -4.501
! - space group = No. 8
! - formation energy (eV/atom) = -0.5319
! - N(E_F) (states/eV per atom) = 0.72
&SYSTEM
  ibrav = 0, nat = 8, ntyp = 3
/
ATOMIC_SPECIES
Ca 40.08 Ca.upf
Y 88.91 Y.upf
P 30.97 P.upf
ATOMIC_POSITIONS angstrom
Ca 0.0000 0.0000 0.0000
Ca 0.1518 0.0000 3.6056
Ca 6.2758 1.8899 0.0000
Ca 6.4276 1.8899 3.6056
Y 3.3580 0.0000 1.9394
Y 9.6339 1.8899 1.9394
P 1.3917 1.8899 1.7806
P 7.6675 0.0000 1.7806
CELL_PARAMETERS angstrom
12.5517 0.0000 0.0000
0.0000 3.7799 0.0000
-3.1512 0.0000 5.4605

[3]
! K2RbCdPt (GGA-PBE, optimized geometry); values from VASP
! - V (A^3/atom) = 49.649
! - total magnetization (μB/f.u.) = 0.53
! - electronic total energy (eV per atom) = -1.911
! - space group = No. 123
! - formation energy (eV/atom) = 0.1130
! - N(E_F) (states/eV per atom) = 0.89
&SYSTEM
  ibrav = 0, nat = 5, ntyp = 4
/
ATOMIC_SPECIES
K 39.10 K.upf
Rb 85.47 Rb.upf
Cd 112.41 Cd.upf
Pt 195.08 Pt.upf
ATOMIC_POSITIONS angstrom
K 0.0000 3.0989 0.0000
K 3.0989 0.0000 0.0000
Rb 0.0000 0.0000 3.2313
Cd 3.0989 3.0989 3.2313
Pt 0.0000 0.0000 0.0000
CELL_PARAMETERS angstrom
6.1977 0.0000 0.0000
0.0000 6.1977 0.0000
0.0000 0.0000 6.4626

[4]
! CrHgMo4 (GGA-PBE, optimized geometry); values from VASP
! - V (A^3/atom) = 16.757
! - total magnetization (μB/f.u.) = 0.18
! - electronic total energy (eV per atom) = -8.303
! - space group = No. 216
! - formation energy (eV/atom) = 0.5723
! - N(E_F) (states/eV per atom) = 0.41
&SYSTEM
  ibrav = 0, nat = 6, ntyp = 3
/
ATOMIC_SPECIES
Cr 52.00 Cr.upf
Hg 200.59 Hg.upf
Mo 95.94 Mo.upf
ATOMIC_POSITIONS angstrom
Cr 0.0000 0.0000 0.0000
Hg 5.5360 5.5360 5.5360
Mo 2.7718 2.7718 2.7718
Mo 4.6095 4.6095 2.7718
Mo 4.6095 2.7718 4.6095
Mo 2.7718 4.6095 4.6095
CELL_PARAMETERS angstrom
0.0000 3.6906 3.6906
3.6906 0.0000 3.6906
3.6906 3.6906 0.0000

[5]
! Ac12PrCo5 (GGA-PBE, optimized geometry); values from VASP
! - V (A^3/atom) = 35.769
! - total magnetization (μB/f.u.) = 0.00
! - electronic total energy (eV per atom) = -4.941
! - space group = No. 1
! - formation energy (eV/atom) = 0.0376
! - N(E_F) (states/eV per atom) = 1.03
&SYSTEM
  ibrav = 0, nat = 18, ntyp = 3
/
ATOMIC_SPECIES
Ac 227.00 Ac.upf
Pr 140.91 Pr.upf
Co 58.93 Co.upf
ATOMIC_POSITIONS angstrom
Ac 0.0000 0.0000 0.0000
Ac 3.4080 4.5461 10.1285
Ac 6.1028 6.4487 3.0620
Ac 3.6369 2.1157 0.0175
Ac 5.9156 4.9416 6.7632
Ac 7.0699 6.1910 10.1368
Ac 5.9884 2.1411 3.0951
Ac 7.3150 4.2821 0.0314
Ac 7.1111 2.1275 10.0006
Ac 9.5769 5.8123 6.7664
Ac 8.2172 2.1405 6.2431
Ac 9.7836 4.3014 3.0595
Pr 3.8847 2.1345 7.4907
Co 4.8027 6.7506 8.4123
Co 4.8453 4.2947 1.4786
Co 8.5148 6.4590 1.5004
Co 8.4578 4.0021 8.4150
Co 8.5271 2.1302 1.5622
CELL_PARAMETERS angstrom
7.3231 0.0000 0.0000
3.6512 6.4747 0.0000
2.2415 2.1428 13.5788

[6]
! SrTe2As2 (GGA-PBE, optimized geometry); values from VASP
! - V (A^3/atom) = 29.973
! - total magnetization (μB/f.u.) = 0.00
! - electronic total energy (eV per atom) = -3.688
! - space group = No. 139
! - N(E_F) (states/eV per atom) = 0.55
&SYSTEM
  ibrav = 0, nat = 10, ntyp = 3
/
ATOMIC_SPECIES
Sr 87.62 Sr.upf
Te 127.60 Te.upf
As 74.92 As.upf
ATOMIC_POSITIONS angstrom
Sr 0.0000 0.0000 0.0000
Sr 2.2650 2.2650 7.3028
Te 0.0000 2.2650 3.6514
Te 0.0000 2.2650 10.9542
Te 2.2650 0.0000 3.6514
Te 2.2650 0.0000 10.9542
As 0.0000 0.0000 6.1291
As 0.0000 0.0000 8.4766
As 2.2650 2.2650 1.1737
As 2.2650 2.2650 13.4319
CELL_PARAMETERS angstrom
4.5301 0.0000 0.0000
0.0000 4.5301 0.0000
0.0000 0.0000 14.6056

[7]
! KGa2Se (GGA-PBE, optimized geometry); values from VASP
! - V (A^3/atom) = 27.934
! - total magnetization (μB/f.u.) = 0.00
! - electronic total energy (eV per atom) = -2.943
! - space group = No. 122
! - N(E_F) (states/eV per atom) = 0.40
&SYSTEM
  ibrav = 0, nat = 16, ntyp = 3
/
ATOMIC_SPECIES
K 39.10 K.upf
Ga 69.72 Ga.upf
Se 78.96 Se.upf
ATOMIC_POSITIONS angstrom
K 0.0000 0.0000 0.0000
K 0.0000 4.2146 1.5726
K 4.2146 0.0000 4.7178
K 4.2146 4.2146 3.1452
Ga 1.6779 2.1073 3.9315
Ga 2.1073 5.8925 5.5041
Ga 2.1073 6.7514 2.3589
Ga 2.5367 2.1073 0.7863
Ga 5.8925 6.3219 0.7863
Ga 6.3219 1.6779 2.3589
Ga 6.3219 2.5367 5.5041
Ga 6.7514 6.3219 3.9315
Se 0.0000 0.0000 3.1452
Se 0.0000 4.2146 4.7178
Se 4.2146 0.0000 1.5726
Se 4.2146 4.2146 0.0000
CELL_PARAMETERS angstrom
8.4293 0.0000 0.0000
0.0000 8.4293 0.0000
0.0000 0.0000 6.2904

[8]
! PtAuCl2F (GGA-PBE, optimized geometry); values from VASP
! - V (A^3/atom) = 24.536
! - total magnetization (μB/f.u.) = 1.26
! - electronic total energy (eV per atom) = -2.422
! - space group = No. 123
! - N(E_F) (states/eV per atom) = 0.68
&SYSTEM
  ibrav = 0, nat = 5, ntyp = 4
/
ATOMIC_SPECIES
Pt 195.08 Pt.upf
Au 196.97 Au.upf
Cl 35.45 Cl.upf
F 19.00 F.upf
ATOMIC_POSITIONS angstrom
Pt 0.0000 0.0000 0.0000
Au 0.0000 0.0000 2.7173
Cl 0.0000 2.3756 2.7173
Cl 2.3756 0.0000 2.7173
F 2.3756 2.3756 0.0000
CELL_PARAMETERS angstrom
4.7512 0.0000 0.0000
0.0000 4.7512 0.0000
0.0000 0.0000 5.4345

[9]
! CdP2HCl (GGA-PBE, optimized geometry); values from VASP
! - V (A^3/atom) = 28.263
! - total magnetization (μB/f.u.) = 3.43
! - electronic total energy (eV per atom) = -2.149
! - space group = No. 123
! - N(E_F) (states/eV per atom) = 0.55
&SYSTEM
  ibrav = 0, nat = 5, ntyp = 4
/
ATOMIC_SPECIES
Cd 112.41 Cd.upf
P 30.97 P.upf
H 1.01 H.upf
Cl 35.45 Cl.upf
ATOMIC_POSITIONS angstrom
Cd 0.0000 0.0000 0.0000
P 0.0000 2.5456 0.0000
P 2.5456 0.0000 0.0000
H 2.5456 2.5456 2.7259
Cl 0.0000 0.0000 2.7259
CELL_PARAMETERS angstrom
5.0912 0.0000 0.0000
0.0000 5.0912 0.0000
0.0000 0.0000 5.4519

[10]
! RbSi2BPd (GGA-PBE, optimized geometry); values from VASP
! - V (A^3/atom) = 27.052
! - total magnetization (μB/f.u.) = 0.88
! - electronic total energy (eV per atom) = -3.543
! - space group = No. 123
! - N(E_F) (states/eV per atom) = 1.04
&SYSTEM
  ibrav = 0, nat = 5, ntyp = 4
/
ATOMIC_SPECIES
Rb 85.47 Rb.upf
Si 28.09 Si.upf
B 10.81 B.upf
Pd 106.42 Pd.upf
ATOMIC_POSITIONS angstrom
Rb 0.0000 0.0000 0.0000
Si 0.0000 2.3147 3.1556
Si 2.3147 0.0000 3.1556
B 2.3147 2.3147 0.0000
Pd 0.0000 0.0000 3.1556
CELL_PARAMETERS angstrom
4.6295 0.0000 0.0000
0.0000 4.6295 0.0000
0.0000 0.0000 6.3112

[11]
! Ca3P6Pd20 (GGA-PBE, optimized geometry); values from VASP
! - V (A^3/atom) = 15.924
! - total magnetization (μB/f.u.) = 0.00
! - electronic total energy (eV per atom) = -5.565
! - space group = No. 225
! - formation energy (eV/atom) = -0.6576
! - N(E_F) (states/eV per atom) = 0.43
&SYSTEM
  ibrav = 0, nat = 29, ntyp = 3
/
ATOMIC_SPECIES
Ca 40.08 Ca.upf
P 30.97 P.upf
Pd 106.42 Pd.upf
ATOMIC_POSITIONS angstrom
Ca 0.0000 0.0000 0.0000
Ca 3.0675 3.0675 3.0675
Ca 9.2024 9.2024 9.2024
P 6.1349 6.1349 3.2268
P 6.1349 3.2268 6.1349
P 9.0430 6.1349 6.1349
P 3.2268 6.1349 6.1349
P 6.1349 9.0430 6.1349
P 6.1349 6.1349 9.0430
Pd 2.1211 2.1211 0.0000
Pd 4.0139 4.0139 0.0000
Pd 2.1211 0.0000 2.1211
Pd 6.1349 4.0139 2.1211
Pd 4.0139 0.0000 4.0139
Pd 6.1349 2.1211 4.0139
Pd 7.5355 4.7344 4.7344
Pd 0.0000 2.1211 2.1211
Pd 4.0139 6.1349 2.1211
Pd 4.0139 2.1211 6.1349
Pd 4.7344 4.7344 4.7344
Pd 7.5355 7.5355 4.7344
Pd 7.5355 4.7344 7.5355
Pd 4.7344 7.5355 4.7344
Pd 4.7344 4.7344 7.5355
Pd 7.5355 7.5355 7.5355
Pd 0.0000 4.0139 4.0139
Pd 2.1211 6.1349 4.0139
Pd 2.1211 4.0139 6.1349
Pd 4.7344 7.5355 7.5355
CELL_PARAMETERS angstrom
0.0000 6.1349 6.1349
6.1349 0.0000 6.1349
6.1349 6.1349 0.0000

[12]
! YOs2W (GGA-PBE, optimized geometry); values from VASP
! - V (A^3/atom) = 16.951
! - total magnetization (μB/f.u.) = 0.00
! - electronic total energy (eV per atom) = -9.960
! - space group = No. 216
! - formation energy (eV/atom) = 0.5092
! - N(E_F) (states/eV per atom) = 1.15
&SYSTEM
  ibrav = 0, nat = 16, ntyp = 3
/
ATOMIC_SPECIES
Y 88.91 Y.upf
Os 190.23 Os.upf
W 183.84 W.upf
ATOMIC_POSITIONS angstrom
Y 0.0000 0.0000 0.0000
Y 0.0000 3.2365 3.2365
Y 3.2365 0.0000 3.2365
Y 3.2365 3.2365 0.0000
Os 0.0000 0.0000 3.2365
Os 0.0000 3.2365 0.0000
Os 1.6182 1.6182 1.6182
Os 1.6182 4.8547 4.8547
Os 3.2365 0.0000 0.0000
Os 3.2365 3.2365 3.2365
Os 4.8547 1.6182 4.8547
Os 4.8547 4.8547 1.6182
W 1.6182 1.6182 4.8547
W 1.6182 4.8547 1.6182
W 4.8547 1.6182 1.6182
W 4.8547 4.8547 4.8547
CELL_PARAMETERS angstrom
6.4730 0.0000 0.0000
0.0000 6.4730 0.0000
0.0000 0.0000 6.4730